A plane-wave DFT calculation with GGA+U was carried out for crystalline RbVAg2F8 at its relaxed geometry.

a b c (Å): 4.9804 5.5202 7.7016
angles (deg): 81.01 83.37 88.01
Sites, in units of the cell vectors:
1 Rb 0.0000 0.0000 0.0000
2 V 0.0000 0.0000 0.5000
3 Ag 0.4245 0.4772 0.2374
4 Ag 0.5755 0.5228 0.7626
5 F 0.1379 0.7898 0.6838
6 F 0.2007 0.8248 0.3363
7 F 0.2871 0.2276 0.4854
8 F 0.4656 0.2709 0.0051
9 F 0.5344 0.7291 0.9949
10 F 0.7129 0.7724 0.5146
11 F 0.7993 0.1752 0.6637
12 F 0.8621 0.2102 0.3162

**Final energy**: -4.486 eV per atom
**Total moment**: 2.0 μB/f.u.